# AlAsOsSe2, relaxed, DFT PBE
data_AlAsOsSe2
_space_group_name_H-M_alt 'P 4/m m m'
_space_group_IT_number 123
_space_group_name_Hall '-P 4 2'
_cell_length_a 4.6975
_cell_length_b 4.6975
_cell_length_c 4.6525
_cell_angle_alpha 90.00
_cell_angle_beta 90.00
_cell_angle_gamma 90.00
loop_
_atom_site_label
_atom_site_type_symbol
_atom_site_fract_x
_atom_site_fract_y
_atom_site_fract_z
_atom_site_occupancy
Al1 Al 0.0000 0.0000 0.0000 1
As1 As 0.0000 0.0000 0.5000 1
Os1 Os 0.5000 0.5000 0.5000 1
Se1 Se 0.0000 0.5000 0.0000 1
# Size of the total moment: 0.000 μB/atom
# Raw formation energy: 5.88 eV per formula unit
# Energy above the lowest structure with this stoichiometry: 0.5456 eV/atom
# Crystal system: tetragonal